(1)
The following is a GGA-PBE calculation of an optimized crystal structure of Sr2LiSN, from the Alexandria database.

Formation energy without anion corrections ... -0.29 eV/atom
Space group ... P4/mmm
Relative energy among the computed polymorphs ... 804 meV/atom
Total DFT energy (no corrections) ... -3.833 eV per atom

a b c (Å): 5.5282 5.5282 4.3072
angles (deg): 90.00 90.00 90.00
With the nearest neighbours (Å) after each atom.
Element x y z (fractional)
Sr: 0.0000 0.5000 0.0000  2 S 2.76
Sr: 0.5000 0.0000 0.0000  2 S 2.76
Li: 0.0000 0.0000 0.5000  2 S 2.15
S: 0.0000 0.0000 0.0000  2 Li 2.15
N: 0.5000 0.5000 0.5000  8 Sr 3.50, 4 Li 3.91

(2)
The following is a GGA-PBE calculation of an optimized crystal structure of K3RbTl3I8, from the Alexandria database.

Formation energy without anion corrections ... -0.99 eV/atom
Space group ... R-3m
Total DFT energy (no corrections) ... -2.578 eV per atom

a b c (Å): 9.9758 9.9758 9.9758
angles (deg): 60.21 60.21 60.21
With the nearest neighbours (Å) after each atom.
Element x y z (fractional)
K: 0.0000 0.5000 0.5000  6 I 3.54-3.60
K: 0.5000 0.0000 0.5000  6 I 3.54-3.60
K: 0.5000 0.5000 0.0000  6 I 3.54-3.60
Rb: 0.0000 0.0000 0.0000  6 I 3.62
Tl: 0.0000 0.0000 0.5000  6 I 3.47-3.52
Tl: 0.0000 0.5000 0.0000  6 I 3.47-3.52
Tl: 0.5000 0.0000 0.0000  6 I 3.47-3.52
I: 0.2468 0.7437 0.7437  2 Tl 3.47, 2 K 3.60, 1 Rb 3.62
I: 0.2492 0.2492 0.2492  3 Tl 3.52, 3 K 3.54
I: 0.2563 0.2563 0.7532  2 Tl 3.47, 2 K 3.60, 1 Rb 3.62
I: 0.2563 0.7532 0.2563  2 Tl 3.47, 2 K 3.60, 1 Rb 3.62
I: 0.7437 0.2468 0.7437  2 Tl 3.47, 2 K 3.60, 1 Rb 3.62
I: 0.7437 0.7437 0.2468  2 Tl 3.47, 2 K 3.60, 1 Rb 3.62
I: 0.7508 0.7508 0.7508  3 Tl 3.52, 3 K 3.54
I: 0.7532 0.2563 0.2563  2 Tl 3.47, 2 K 3.60, 1 Rb 3.62

(3)
The following is a GGA-PBE calculation of an optimized crystal structure of Sm12Y5Cd2, from the Alexandria database.

Space group ... C2/m
Total DFT energy (no corrections) ... -4.736 eV per atom
Formation energy ... 41 meV per atom

a b c (Å): 9.0823 9.0823 8.5416
angles (deg): 92.39 92.39 60.84
With the nearest neighbours (Å) after each atom.
Element x y z (fractional)
Sm: 0.0561 0.0561 0.3313  2 Cd 3.31, 7 Sm 3.35-3.55, 2 Y 3.35-3.56
Sm: 0.0692 0.6789 0.3278  5 Sm 3.37-3.59, 4 Y 3.39-3.69, 1 Cd 3.51
Sm: 0.1671 0.5373 0.7635  1 Cd 3.28, 4 Sm 3.35-3.59, 2 Y 3.55-3.57
Sm: 0.3211 0.9308 0.6722  5 Sm 3.37-3.59, 4 Y 3.39-3.69, 1 Cd 3.51
Sm: 0.4189 0.4189 0.1151  5 Sm 3.29-3.56, 2 Cd 3.45, 3 Y 3.47-3.65
Sm: 0.4627 0.8329 0.2365  1 Cd 3.28, 4 Sm 3.35-3.59, 2 Y 3.55-3.57
Sm: 0.5373 0.1671 0.7635  1 Cd 3.28, 4 Sm 3.35-3.59, 2 Y 3.55-3.57
Sm: 0.5811 0.5811 0.8849  5 Sm 3.29-3.56, 2 Cd 3.45, 3 Y 3.47-3.65
Sm: 0.6789 0.0692 0.3278  5 Sm 3.37-3.59, 4 Y 3.39-3.69, 1 Cd 3.51
Sm: 0.8329 0.4627 0.2365  1 Cd 3.28, 4 Sm 3.35-3.59, 2 Y 3.55-3.57
Sm: 0.9308 0.3211 0.6722  5 Sm 3.37-3.59, 4 Y 3.39-3.69, 1 Cd 3.51
Sm: 0.9439 0.9439 0.6687  2 Cd 3.31, 7 Sm 3.35-3.55, 2 Y 3.35-3.56
Y: 0.1973 0.1973 0.0175  2 Cd 3.46, 8 Sm 3.53-3.74, 1 Y 3.59
Y: 0.2665 0.2665 0.4243  8 Sm 3.35-3.65, 2 Y 3.59-3.68
Y: 0.5000 0.5000 0.5000  10 Sm 3.47-3.72, 2 Y 3.68
Y: 0.7335 0.7335 0.5757  8 Sm 3.35-3.65, 2 Y 3.59-3.68
Y: 0.8027 0.8027 0.9825  2 Cd 3.46, 8 Sm 3.53-3.74, 1 Y 3.59
Cd: 0.1697 0.8303 0.0000  1 Cd 3.12, 6 Sm 3.28-3.45, 2 Y 3.46
Cd: 0.8303 0.1697 0.0000  1 Cd 3.12, 6 Sm 3.28-3.45, 2 Y 3.46